DFT (PBE-GGA) results for a geometry-optimized ThTaSi2Ir structure.

The value obtained for the volume is 185.3 Å³ per cell. Its crystal system is tetragonal. The final energy comes out at -8.50 eV/atom.

The space group is I-4m2 (No. 119) and the conventional cell measures 4.147, 4.147 and 10.779 Å, with angles of 90.00, 90.00 and 90.00 degrees. The inequivalent atoms are Th at (0.000, 0.000, 0.000), Ta at (0.000, 0.500, 0.750), Si at (0.000, 0.000, 0.387) and Ir at (0.000, 0.500, 0.250).